The following is a meta-GGA SCAN calculation of Na3Ge4Pt4 at its PBEsol-relaxed geometry, from the Alexandria database.

The density of states at the Fermi level comes out at 0.23 states/eV per atom. For the formation energy, the calculation gives -668 meV per atom. Its crystal system is cubic. The volume comes out at 20.05 A^3/atom.

The space group is I-43m (No. 217) and the conventional cell measures 7.612, 7.612 and 7.612 Å, with angles of 90.00, 90.00 and 90.00 degrees. Symmetry generates all atoms from Na at (0.000, 0.000, 0.500), Ge at (0.185, 0.185, 0.185) and Pt at (0.137, 0.137, 0.863).

The following is a meta-GGA SCAN calculation of RbNa2Ge17 at its PBEsol-relaxed geometry, from the Alexandria database.

The density of states at the Fermi level comes out at 0.32 states/eV per atom. For the formation energy, the calculation gives -75 meV per atom. Its crystal system is cubic. The volume comes out at 23.18 A^3/atom.

The space group is Fd-3m (No. 227, origin choice 2) and the conventional cell measures 15.479, 15.479 and 15.479 Å, with angles of 90.00, 90.00 and 90.00 degrees. Symmetry generates all atoms from Rb at (0.125, 0.125, 0.125), Na at (0.000, 0.000, 0.500), Ge at (0.032, 0.032, 0.718), Ge at (0.068, 0.068, 0.871) and Ge at (0.125, 0.125, 0.625).

The following is a meta-GGA SCAN calculation of Rb2NaGe2 at its PBEsol-relaxed geometry, from the Alexandria database.

The density of states at the Fermi level comes out at 0.57 states/eV per atom. For the formation energy, the calculation gives 110 meV per atom. Its crystal system is tetragonal. The volume comes out at 37.44 A^3/atom.

The space group is I4/mmm (No. 139) and the conventional cell measures 5.171, 5.171 and 14.001 Å, with angles of 90.00, 90.00 and 90.00 degrees. Symmetry generates all atoms from Rb at (0.000, 0.500, 0.250), Na at (0.000, 0.000, 0.000) and Ge at (0.000, 0.000, 0.419).

> Which formula does entry 3 have?

Rb2NaGe2

> Which of these has the highest volume?

Rb2NaGe2

> What is the volume in the second record?

23.18 A^3/atom

Copy entry 3 word for word.
The following is a meta-GGA SCAN calculation of Rb2NaGe2 at its PBEsol-relaxed geometry, from the Alexandria database.

The density of states at the Fermi level comes out at 0.57 states/eV per atom. For the formation energy, the calculation gives 110 meV per atom. Its crystal system is tetragonal. The volume comes out at 37.44 A^3/atom.

The space group is I4/mmm (No. 139) and the conventional cell measures 5.171, 5.171 and 14.001 Å, with angles of 90.00, 90.00 and 90.00 degrees. Symmetry generates all atoms from Rb at (0.000, 0.500, 0.250), Na at (0.000, 0.000, 0.000) and Ge at (0.000, 0.000, 0.419).